Below is PrBeFe after structural relaxation, with properties calculated at the GGA-PBE level.

The structure in POSCAR format:
```
PrBeFe
1.0
6.3224 0.0000 0.0000
0.0000 6.3224 0.0000
0.0000 0.0000 6.3224
Pr Be Fe
4 4 4
direct
0.0000 0.0000 0.0000
0.0000 0.5000 0.5000
0.5000 0.0000 0.5000
0.5000 0.5000 0.0000
0.2500 0.2500 0.7500
0.2500 0.7500 0.2500
0.7500 0.2500 0.2500
0.7500 0.7500 0.7500
0.2500 0.2500 0.2500
0.2500 0.7500 0.7500
0.7500 0.2500 0.7500
0.7500 0.7500 0.2500
```

Below is Zr4O11 after structural relaxation, with properties calculated at the GGA-PBE level.

The structure in POSCAR format:
```
Zr4O11
1.0
3.2798 0.0000 0.0000
-1.6345 6.0828 0.0000
-1.6150 -2.1066 8.2606
Zr O
4 11
direct
0.0000 0.0000 0.0000
0.1387 0.4960 0.7742
0.3570 0.2985 0.4008
0.6634 0.8316 0.4843
0.0625 0.2402 0.8808
0.1626 0.9459 0.3675
0.3033 0.4556 0.1557
0.3087 0.9470 0.6626
0.3477 0.8784 0.8126
0.4299 0.6655 0.1753
0.5984 0.5636 0.6244
0.6273 0.1042 0.1528
0.7897 0.6417 0.9321
0.8852 0.2158 0.5446
0.9709 0.5377 0.3940
```

Number 1: total energy -4.303 eV/atom. Number 2: total energy -8.246 eV/atom.